No. 1
Computed, not measured: crystalline CaTb2Ga at its relaxed geometry at the PBE level of DFT.

Calculated values
**Energy relative to the elements**: -0.162 eV/atom
**Offset from the most stable computed form**: 73.8 meV per atom
**Crystal system**: tetragonal
**Final energy**: -14.9 eV per formula unit

Cell lengths 4.8470, 4.8470, 4.6797 Å; angles 90.00, 90.00, 90.00 degrees
Closest atoms and distances in Å follow each position.
Space group P4/mmm (No. 123)
Asymmetric unit:
Ca 0.0000 0.0000 0.0000 x1  8 Tb 3.37, 4 Ga 3.43
Tb 0.0000 0.5000 0.5000 x2  4 Ca 3.37, 4 Ga 3.37, 4 Tb 3.43
Ga 0.5000 0.5000 0.0000 x1  8 Tb 3.37, 4 Ca 3.43


No. 2
Computed, not measured: crystalline FeReI3 at its relaxed geometry at the PBE level of DFT.

Calculated values
**Crystal system**: cubic
**Final energy**: -19.0 eV per formula unit
**E_form (uncorrected)**: 125.68 kJ per mole of atoms

Cell lengths 5.4390, 5.4390, 5.4390 Å; angles 90.00, 90.00, 90.00 degrees
Closest atoms and distances in Å follow each position.
Space group Pm-3m (No. 221)
Asymmetric unit:
Fe 0.0000 0.0000 0.0000 x1  12 I 3.85
Re 0.5000 0.5000 0.5000 x1  6 I 2.72
I 0.0000 0.5000 0.5000 x3  2 Re 2.72


No. 3
Computed, not measured: crystalline ErHfNb at its relaxed geometry at the PBE level of DFT.

Calculated values
**Energy relative to the elements**: 0.189 eV/atom
**Offset from the most stable computed form**: 28.5 meV per atom
**Crystal system**: hexagonal
**Final energy**: -24.0 eV per formula unit

Cell lengths 4.9996, 4.9996, 3.1017 Å; angles 90.00, 90.00, 120.00 degrees
Closest atoms and distances in Å follow each position.
Space group P-6m2 (No. 187)
Asymmetric unit:
Er 0.0000 0.0000 0.0000 x1  3 Nb 2.89, 2 Er 3.10
Hf 0.6667 0.3333 0.5000 x1  2 Hf 3.10, 6 Er 3.28, 6 Nb 3.28
Nb 0.3333 0.6667 0.0000 x1  3 Er 2.89, 2 Nb 3.10


No. 4
Computed, not measured: crystalline NdBi2BrO4 at its relaxed geometry at the PBE level of DFT.

Calculated values
**Crystal system**: tetragonal
**Final energy**: -49.6 eV per formula unit
**E_form (uncorrected)**: -187.26 kJ per mole of atoms

Cell lengths 3.9798, 3.9798, 9.4298 Å; angles 90.00, 90.00, 90.00 degrees
Closest atoms and distances in Å follow each position.
Space group P4/mmm (No. 123)
Asymmetric unit:
Nd 0.0000 0.0000 0.0000 x1  8 O 2.47
Bi 0.5000 0.5000 0.2715 x2  4 O 2.27
Br 0.0000 0.0000 0.5000 x1  8 Bi 3.54, 8 O 3.81
O 0.0000 0.5000 0.1557 x4  2 Bi 2.27, 2 Nd 2.47


No. 5
Computed, not measured: crystalline BaTe2Au at its relaxed geometry at the PBE level of DFT.

Calculated values
**Offset from the most stable computed form**: 284.0 meV per atom
**Crystal system**: tetragonal
**Final energy**: -13.7 eV per formula unit
**E_form (uncorrected)**: -54.51 kJ per mole of atoms

Cell lengths 4.5892, 4.5892, 6.1235 Å; angles 90.00, 90.00, 90.00 degrees
Closest atoms and distances in Å follow each position.
Space group P4/mmm (No. 123)
Asymmetric unit:
Ba 0.0000 0.0000 0.0000 x1  4 Au 3.25
Te 0.0000 0.5000 0.5000 x2  4 Te 3.25
Au 0.5000 0.5000 0.0000 x1  4 Ba 3.25


No. 6
Computed, not measured: crystalline Sc5Bi2As2 at its relaxed geometry at the PBE level of DFT.

Calculated values
**Energy relative to the elements**: -0.930 eV/atom
**Crystal system**: orthorhombic
**Final energy**: -57.1 eV per formula unit

Cell lengths 14.3643, 7.5575, 7.5859 Å; angles 90.00, 90.00, 90.00 degrees
Closest atoms and distances in Å follow each position.
Space group Cmce (No. 64)
Asymmetric unit:
Sc 0.0000 0.0000 0.0000 x4  4 As 2.88-2.91, 2 Bi 2.95
Sc 0.1193 0.1532 0.3442 x16  3 As 2.72-2.86, 1 Bi 3.01
Bi 0.2056 0.0000 0.0000 x8  7 Sc 2.95-3.13
As 0.0000 0.1488 0.6465 x8  8 Sc 2.72-2.91


No. 7
Computed, not measured: crystalline Li2NiP at its relaxed geometry at the PBE level of DFT.

Calculated values
**Energy relative to the elements**: -0.308 eV/atom
**Crystal system**: monoclinic
**Final energy**: -16.3 eV per formula unit

Cell lengths 2.6420, 3.9308, 4.6285 Å; angles 90.00, 90.10, 90.00 degrees
Closest atoms and distances in Å follow each position.
Space group P2/m (No. 10)
Asymmetric unit:
Li 0.0020 0.0000 0.2547 x2  2 Li 2.27-2.36
Ni 0.5000 0.5000 0.0000 x1  2 P 2.31
P 0.5000 0.5000 0.5000 x1  2 Ni 2.31


No. 8
Computed, not measured: crystalline AcCeNi2 at its relaxed geometry at the PBE level of DFT.

Calculated values
**Energy relative to the elements**: -0.125 eV/atom
**Offset from the most stable computed form**: 76.5 meV per atom
**Crystal system**: cubic
**Final energy**: -22.1 eV per formula unit

Cell lengths 7.1043, 7.1043, 7.1043 Å; angles 90.00, 90.00, 90.00 degrees
Closest atoms and distances in Å follow each position.
Space group Fm-3m (No. 225)
Asymmetric unit:
Ac 0.0000 0.0000 0.0000 x4  8 Ni 3.08
Ce 0.0000 0.0000 0.5000 x4  8 Ni 3.08
Ni 0.2500 0.2500 0.2500 x8  4 Ac 3.08, 4 Ce 3.08


No. 9
Computed, not measured: crystalline Li2MgHg at its relaxed geometry at the PBE level of DFT.

Calculated values
**Energy relative to the elements**: -0.183 eV/atom
**Offset from the most stable computed form**: 90.5 meV per atom
**Crystal system**: monoclinic
**Final energy**: -6.5 eV per formula unit

Cell lengths 5.7790, 9.5183, 3.0861 Å; angles 90.00, 111.68, 90.00 degrees
Closest atoms and distances in Å follow each position.
Space group C2/m (No. 12)
Asymmetric unit:
Li 0.2500 0.2500 0.0000 x4  4 Li 2.89-3.09, 2 Hg 2.91, 2 Mg 2.91
Mg 0.0000 0.0000 0.5000 x2  2 Hg 2.89, 4 Li 2.91, 2 Mg 3.09
Hg 0.0000 0.5000 0.5000 x2  2 Mg 2.89, 4 Li 2.91, 2 Hg 3.09


No. 10
Computed, not measured: crystalline TlRe2Cl at its relaxed geometry at the PBE level of DFT.

Calculated values
**Offset from the most stable computed form**: 1310.4 meV per atom
**Crystal system**: tetragonal
**Final energy**: -23.0 eV per formula unit
**E_form (uncorrected)**: 147.62 kJ per mole of atoms

Cell lengths 3.2248, 3.2248, 6.5668 Å; angles 90.00, 90.00, 90.00 degrees
Closest atoms and distances in Å follow each position.
Space group P4/mmm (No. 123)
Asymmetric unit:
Tl 0.0000 0.0000 0.0000 x1  8 Re 3.02, 4 Tl 3.22, 2 Cl 3.28
Re 0.5000 0.5000 0.3024 x2  1 Re 2.60, 4 Cl 2.62
Cl 0.0000 0.0000 0.5000 x1  8 Re 2.62


No. 11
Computed, not measured: crystalline Ho11Cd9Ga4 at its relaxed geometry at the PBE level of DFT.

Calculated values
**Energy relative to the elements**: -0.388 eV/atom
**Crystal system**: orthorhombic
**Final energy**: -80.0 eV per formula unit

Cell lengths 14.6613, 22.0278, 3.6459 Å; angles 90.00, 90.00, 90.00 degrees
Closest atoms and distances in Å follow each position.
Space group Cmmm (No. 65)
Asymmetric unit:
Ho 0.0000 0.0000 0.0000 x2  8 Cd 3.18
Ho 0.0000 0.1643 0.0000 x4  8 Cd 3.25-3.42, 3 Ho 3.48-3.62
Ho 0.0000 0.3700 0.0000 x4  4 Ga 2.94
Ho 0.2012 0.5000 0.0000 x4  4 Ga 2.96
Ho 0.2369 0.1733 0.0000 x8  2 Ga 2.94, 4 Cd 3.20-3.25
Cd 0.0000 0.5000 0.5000 x2  4 Ga 3.12, 8 Ho 3.39-3.47
Cd 0.1058 0.2640 0.5000 x8  1 Ga 3.06, 1 Cd 3.10, 8 Ho 3.25-3.34
Cd 0.1409 0.0724 0.5000 x8  1 Ga 3.11, 8 Ho 3.18-3.42, 1 Cd 3.19
Ga 0.1509 0.3998 0.5000 x8  6 Ho 2.94-2.96, 3 Cd 3.06-3.12


No. 12
Computed, not measured: crystalline ScAl2Cd at its relaxed geometry at the PBE level of DFT.

Calculated values
**Energy relative to the elements**: 0.107 eV/atom
**Crystal system**: tetragonal
**Final energy**: -14.3 eV per formula unit

Cell lengths 4.1539, 4.1539, 20.1115 Å; angles 90.00, 90.00, 90.00 degrees
Closest atoms and distances in Å follow each position.
Space group I-42d (No. 122)
Asymmetric unit:
Sc 0.0000 0.0000 0.0000 x4  4 Al 2.89, 4 Cd 2.94
Al 0.2363 0.2500 0.1250 x8  4 Al 2.86-3.02, 2 Sc 2.89, 2 Cd 2.93
Cd 0.0000 0.0000 0.5000 x4  4 Al 2.93, 4 Sc 2.94